Run 1
Entry from Alexandria: HfNOF2 after structural relaxation (PBE).

## Properties
V: 52.34 Å³ per cell
Space group: P4/mmm

Lattice parameters (Å, degrees): 3.5821 3.5821 4.0793 90.00 90.00 90.00
Element x y z (fractional)
Hf1 0.0000 0.0000 0.0000
N1 0.5000 0.5000 0.0000
O1 0.5000 0.5000 0.5000
F1 0.0000 0.5000 0.5000
F2 0.5000 0.0000 0.5000


Run 2
Entry from Alexandria: HfNOF2 after structural relaxation (PBE).

## Properties
V: 70.11 Å³ per cell
Space group: P4/mmm

Lattice parameters (Å, degrees): 4.1956 4.1956 3.9827 90.00 90.00 90.00
Element x y z (fractional)
Hf1 0.0000 0.0000 0.0000
N1 0.5000 0.5000 0.5000
O1 0.0000 0.0000 0.5000
F1 0.0000 0.5000 0.0000
F2 0.5000 0.0000 0.0000


Which is the most stable structure? run 2 is the most stable.